(1)
Computed, not measured: crystalline TaReP at its relaxed geometry at the GGA-PBEsol level of DFT.

Cell lengths 2.9093, 2.9093, 6.0946 Å; angles 90.00, 90.00, 120.00 degrees
Space group P3m1 (No. 156)
Inequivalent atoms, fractional coordinates:
Ta: 0.0000 0.0000 0.0000
Re: 0.6667 0.3333 0.3767
P: 0.3333 0.6667 0.6595

Calculated values
- Theoretical density: 14.80 g/cm³
- Energy above the lowest structure with this stoichiometry: 253 meV/atom
- E_tot: -10.6340 eV/atom
- Total magnetic moment: 0.000 μB/cell

=====

(2)
Computed, not measured: crystalline ReTcP3 at its relaxed geometry at the GGA-PBEsol level of DFT.

Cell lengths 4.544, 4.544, 4.544 Å; angles 90.00, 90.00, 90.00 degrees
Space group Pm-3m (No. 221)
Inequivalent atoms, fractional coordinates:
Re: 0.000 0.000 0.000
Tc: 0.500 0.500 0.500
P: 0.000 0.000 0.500

Calculated values
- Theoretical density: 6.67 g/cm³
- E_tot: -7.1564 eV/atom
- Total magnetic moment: 2.343 μB/cell

=====

(3)
Computed, not measured: crystalline Re2TcP at its relaxed geometry at the GGA-PBEsol level of DFT.

Cell lengths 3.823, 2.810, 10.294 Å; angles 90.00, 90.00, 90.00 degrees
Space group Amm2 (No. 38)
Inequivalent atoms, fractional coordinates:
Re: 0.000 0.000 0.000
Re: 0.500 0.000 0.370
Tc: 0.000 0.000 0.731
P: 0.500 0.000 0.143

Calculated values
- Theoretical density: 15.05 g/cm³
- E_tot: -11.0253 eV/atom
- Total magnetic moment: 0.000 μB/cell